# 1
Density functional theory data (PBE) for an optimized crystal structure of Sc2Co.

Structure (POSCAR):
```
Sc2Co
1.0
0.000 3.093 3.093
3.093 0.000 3.093
3.093 3.093 0.000
Sc Co
2 1
direct
0.250 0.250 0.250
0.750 0.750 0.750
0.000 0.000 0.000
```

Energy of formation from the pure elements = -0.12 eV per atom
Total energy = -0.493 Ry per atom


# 2
Density functional theory data (PBE) for an optimized crystal structure of AlAg7.

Structure (POSCAR):
```
AlAg7
1.0
5.026 0.000 0.000
-0.794 5.006 0.000
-1.580 -0.277 5.587
Al Ag
1 7
direct
0.000 0.000 0.000
0.000 0.000 0.500
0.002 0.498 0.753
0.490 0.251 0.370
0.498 0.243 0.876
0.502 0.757 0.124
0.510 0.749 0.630
0.998 0.502 0.247
```

Energy of formation from the pure elements = -0.01 eV per atom
Energy relative to the lowest polymorph listed for this composition = 0.011 eV/atom
Total energy = -0.219 Ry per atom


# 3
Density functional theory data (PBE) for an optimized crystal structure of ZrTcGe2.

Structure (POSCAR):
```
ZrTcGe2
1.0
0.000 3.216 3.216
3.216 0.000 3.216
3.216 3.216 0.000
Zr Tc Ge
1 1 2
direct
0.000 0.000 0.000
0.500 0.500 0.500
0.250 0.250 0.250
0.750 0.750 0.750
```

Energy of formation from the pure elements = -0.25 eV per atom
Energy relative to the lowest polymorph listed for this composition = 0.103 eV/atom
Total energy = -0.536 Ry per atom


# 4
Density functional theory data (PBE) for an optimized crystal structure of TbPm2Sm4Sc.

Structure (POSCAR):
```
TbPm2Sm4Sc
1.0
5.064 0.000 0.000
0.000 5.072 0.000
-0.007 0.000 10.095
Tb Pm Sm Sc
1 2 4 1
direct
0.000 0.000 0.000
0.000 0.000 0.500
0.500 0.500 0.000
0.000 0.500 0.255
0.000 0.500 0.745
0.500 0.000 0.255
0.500 0.000 0.745
0.500 0.500 0.500
```

Energy of formation from the pure elements = 0.03 eV per atom
Total energy = -0.359 Ry per atom


# 5
Density functional theory data (PBE) for an optimized crystal structure of La9Tb2Tm.

Structure (POSCAR):
```
La9Tb2Tm
1.0
5.200 0.000 0.000
0.000 5.200 0.000
0.000 0.000 15.608
La Tb Tm
9 2 1
direct
0.000 0.000 0.000
0.000 0.000 0.333
0.000 0.000 0.667
0.000 0.500 0.166
0.000 0.500 0.500
0.000 0.500 0.834
0.500 0.000 0.166
0.500 0.000 0.500
0.500 0.000 0.834
0.500 0.500 0.333
0.500 0.500 0.667
0.500 0.500 0.000
```

Energy of formation from the pure elements = 0.01 eV per atom
Total energy = -0.355 Ry per atom


# 6
Density functional theory data (PBE) for an optimized crystal structure of B3SbS.

Structure (POSCAR):
```
B3SbS
1.0
3.971 0.000 0.000
0.000 3.971 0.000
0.000 0.000 3.971
B Sb S
3 1 1
direct
0.000 0.000 0.500
0.000 0.500 0.000
0.500 0.000 0.000
0.500 0.500 0.500
0.000 0.000 0.000
```

Energy relative to the lowest polymorph listed for this composition = 0.000 eV/atom
Formation energy without anion corrections = 1.5444 eV/atom
Total energy = -0.302 Ry per atom


# 7
Density functional theory data (PBE) for an optimized crystal structure of Na2AlSn2.

Structure (POSCAR):
```
Na2AlSn2
1.0
8.246 0.000 0.000
0.000 8.246 0.000
0.000 0.000 3.840
Na Al Sn
4 2 4
direct
0.134 0.366 0.000
0.366 0.866 0.000
0.634 0.134 0.000
0.866 0.634 0.000
0.000 0.000 0.000
0.500 0.500 0.000
0.167 0.667 0.500
0.333 0.167 0.500
0.667 0.833 0.500
0.833 0.333 0.500
```

Energy of formation from the pure elements = 0.22 eV per atom
Energy relative to the lowest polymorph listed for this composition = 0.294 eV/atom
Total energy = -0.195 Ry per atom


# 8
Density functional theory data (PBE) for an optimized crystal structure of Sn2Hg2Cl.

Structure (POSCAR):
```
Sn2Hg2Cl
1.0
-2.149 2.149 7.866
2.149 -2.149 7.866
2.149 2.149 -7.866
Sn Hg Cl
2 2 1
direct
0.250 0.750 0.500
0.750 0.250 0.500
0.091 0.091 0.000
0.909 0.909 0.000
0.500 0.500 0.000
```

Energy relative to the lowest polymorph listed for this composition = 0.104 eV/atom
Formation energy without anion corrections = -0.0405 eV/atom
Total energy = -0.157 Ry per atom


# 9
Density functional theory data (PBE) for an optimized crystal structure of SiHgIr.

Structure (POSCAR):
```
SiHgIr
1.0
3.042 0.000 0.000
-1.521 2.634 0.000
0.000 0.000 6.508
Si Hg Ir
1 1 1
direct
0.000 0.000 0.000
0.333 0.667 0.377
0.667 0.333 0.750
```

Energy relative to the lowest polymorph listed for this composition = 0.048 eV/atom
Formation energy without anion corrections = 0.1009 eV/atom
Total energy = -0.350 Ry per atom


# 10
Density functional theory data (PBE) for an optimized crystal structure of CoPtSe4.

Structure (POSCAR):
```
CoPtSe4
1.0
5.075 0.000 0.000
0.000 3.670 0.000
-0.060 0.000 6.385
Co Pt Se
1 1 4
direct
0.000 0.000 0.000
0.000 0.500 0.500
0.239 0.500 0.851
0.250 0.000 0.318
0.750 0.000 0.682
0.761 0.500 0.149
```

Energy relative to the lowest polymorph listed for this composition = 0.000 eV/atom
Formation energy without anion corrections = -0.3334 eV/atom
Total energy = -0.356 Ry per atom


# 11
Density functional theory data (PBE) for an optimized crystal structure of Cs2AlSbI6.

Structure (POSCAR):
```
Cs2AlSbI6
1.0
-4.296 4.296 6.066
4.296 -4.296 6.066
4.296 4.296 -6.066
Cs Al Sb I
2 1 1 6
direct
0.250 0.750 0.500
0.750 0.250 0.500
0.000 0.000 0.000
0.500 0.500 0.000
0.244 0.244 0.000
0.245 0.245 0.491
0.245 0.755 0.000
0.755 0.245 0.000
0.755 0.755 0.509
0.756 0.756 0.000
```

Formation energy without anion corrections = -0.8181 eV/atom
Total energy = -0.199 Ry per atom


# 12
Density functional theory data (PBE) for an optimized crystal structure of ScTlTc2C.

Structure (POSCAR):
```
ScTlTc2C
1.0
4.167 0.000 0.000
0.000 4.167 0.000
0.000 0.000 4.465
Sc Tl Tc C
1 1 2 1
direct
0.000 0.000 0.000
0.500 0.500 0.000
0.000 0.500 0.500
0.500 0.000 0.500
0.000 0.000 0.500
```

Energy of formation from the pure elements = 0.00 eV per atom
Energy relative to the lowest polymorph listed for this composition = 0.000 eV/atom
Total energy = -0.568 Ry per atom


How do the records compare in calculated density? In the order shown, they have 4.18 9.24 8.35 7.01 6.83 4.94 3.95 7.71 13.40 7.96 4.36 9.79 g/cm³.
How do the records compare in volume? In the order shown, they have 59 141 67 259 422 63 261 145 52 119 448 78 Å³ per cell.
How do the records compare in total moment? In the order shown, they have 0.0 0.0 0.0 0.0 0.0 0.0 0.0 0.0 0.0 0.0 0.0 0.0 Bohr magnetons per cell.